First-principles (PBE+U) data for a relaxed structure of Li2Mn3F8, as listed in Alexandria.

POSCAR file:
```
Li2Mn3F8
1.0
8.7874 0.0000 0.0000
0.0000 8.7874 0.0000
0.0000 0.0000 8.7874
Li Mn F
8 12 32
direct
0.9791 0.9791 0.9791
0.0209 0.4791 0.5209
0.2709 0.2709 0.2709
0.2291 0.7291 0.7709
0.5209 0.0209 0.4791
0.4791 0.5209 0.0209
0.7709 0.2291 0.7291
0.7291 0.7709 0.2291
0.1567 0.0933 0.6250
0.0933 0.6250 0.1567
0.1250 0.3433 0.9067
0.4067 0.3750 0.6567
0.3750 0.6567 0.4067
0.3433 0.9067 0.1250
0.6250 0.1567 0.0933
0.6567 0.4067 0.3750
0.5933 0.8750 0.8433
0.9067 0.1250 0.3433
0.8433 0.5933 0.8750
0.8750 0.8433 0.5933
0.1402 0.1387 0.3856
0.1387 0.3856 0.1402
0.1113 0.1098 0.8644
0.1098 0.8644 0.1113
0.1521 0.3479 0.6521
0.1356 0.6113 0.3902
0.0979 0.5979 0.9021
0.1144 0.8598 0.6387
0.3856 0.1402 0.1387
0.3902 0.1356 0.6113
0.4021 0.4021 0.4021
0.3644 0.3887 0.8902
0.3479 0.6521 0.1521
0.3887 0.8902 0.3644
0.3613 0.6144 0.6402
0.3598 0.8613 0.8856
0.6521 0.1521 0.3479
0.6113 0.3902 0.1356
0.6402 0.3613 0.6144
0.6144 0.6402 0.3613
0.6387 0.1144 0.8598
0.6098 0.6356 0.8887
0.5979 0.9021 0.0979
0.6356 0.8887 0.6098
0.8644 0.1113 0.1098
0.9021 0.0979 0.5979
0.8902 0.3644 0.3887
0.8598 0.6387 0.1144
0.8887 0.6098 0.6356
0.8856 0.3598 0.8613
0.8613 0.8856 0.3598
0.8479 0.8479 0.8479
```

DOS at the Fermi energy: 0.000 states/eV per atom
Distance to the lowest polymorph of the same formula: 9 meV/atom
Calculated volume: 13.05 A^3/atom
Space group: P4_332, No. 212